Record 1
Crystalline Ac3Pr4Mg at its relaxed geometry, computed with GGA-PBE.

Computed properties:
* ΔE_f: -0.01 eV per atom

a = 3.890 Å, b = 3.890 Å, c = 19.913 Å
α = 90.00°, β = 90.00°, γ = 90.00°
Positions (direct):
1 Pr 0.000 0.000 0.900
2 Pr 0.000 0.000 0.100
3 Pr 0.000 0.000 0.366
4 Pr 0.000 0.000 0.634
5 Ac 0.500 0.500 0.232
6 Ac 0.500 0.500 0.500
7 Ac 0.500 0.500 0.768
8 Mg 0.500 0.500 0.000

***

Record 2
Crystalline Tl4HgI6 at its relaxed geometry, computed with GGA-PBE.

Computed properties:
* formation energy from raw total energies: -0.541 eV per atom

a = 9.449 Å, b = 9.595 Å, c = 9.595 Å
α = 90.00°, β = 90.00°, γ = 90.00°
Positions (direct):
1 I 0.291 0.000 0.000
2 I 0.791 0.500 0.500
3 I 0.709 0.000 0.000
4 I 0.209 0.500 0.500
5 I 0.000 0.325 0.137
6 I 0.000 0.675 0.863
7 I 0.000 0.863 0.325
8 I 0.000 0.137 0.675
9 I 0.500 0.825 0.363
10 I 0.500 0.175 0.637
11 I 0.500 0.363 0.175
12 I 0.500 0.637 0.825
13 Tl 0.250 0.347 0.847
14 Tl 0.250 0.653 0.153
15 Tl 0.250 0.153 0.347
16 Tl 0.250 0.847 0.653
17 Tl 0.750 0.847 0.653
18 Tl 0.750 0.153 0.347
19 Tl 0.750 0.653 0.153
20 Tl 0.750 0.347 0.847
21 Hg 0.000 0.000 0.000
22 Hg 0.500 0.500 0.500

***

Record 3
Crystalline TbErTm2In4 at its relaxed geometry, computed with GGA-PBE.

Computed properties:
* ΔE_f: -0.44 eV per atom

a = 5.281 Å, b = 5.281 Å, c = 9.168 Å
α = 73.26°, β = 73.26°, γ = 60.00°
Positions (direct):
1 Tb 0.000 0.000 0.000
2 Er 0.500 0.500 0.500
3 Tm 0.750 0.750 0.749
4 Tm 0.250 0.250 0.251
5 In 0.376 0.376 0.873
6 In 0.874 0.874 0.377
7 In 0.126 0.126 0.623
8 In 0.624 0.624 0.127